A relaxed structure of TbUMn, computed with PBE.

Values from the calculation:
- DOS(E_F) (states/eV/atom) = 1.6166
- V (A^3/atom) = 20.42
- magnetic moment (μB per formula unit) = 0.00
- formation enthalpy at 0 K (eV per atom) = 0.148
- excess energy over the best structure of this formula in the dataset (kJ per mole of atoms) = 5.9
- space-group type = I4mm (107)

Lattice parameters (Å, degrees): 6.0532 6.0532 6.0532 148.24 148.24 45.53
Positions (direct):
Tb 0.0000 0.0000 0.0000
U 0.7062 0.7062 0.0000
Mn 0.2905 0.2905 0.0000